1.
PBE-GGA PmDyPu2S4, optimized geometry; M_tot = 11.3 μB/f.u.; DFT total energy = -8.727 eV per atom
1.0
-0.8054 3.6984 1.1420
-6.4569 -1.8353 1.3899
3.8807 -0.8881 5.6130
S Pm Dy Pu
4 1 1 2
direct
0.5000 0.7437 0.7461
0.5000 0.2563 0.2539
0.0000 0.7447 0.2497
0.0000 0.2553 0.7503
0.0000 0.0000 0.0000
0.5000 0.5000 0.0000
0.5000 0.0000 0.5000
0.0000 0.5000 0.5000

=====

2.
PBE-GGA CoAu2Br, optimized geometry; M_tot = 1.9 μB/f.u.; DFT total energy = -3.469 eV per atom
1.0
2.8355 0.0077 0.0000
-0.0096 2.8355 0.0000
0.0000 0.0000 10.2220
Au Br Co
2 1 1
direct
0.0000 0.0000 0.5733
0.0000 0.0000 0.9267
0.5000 0.5000 0.2500
0.5000 0.5000 0.7500

=====

3.
PBE-GGA Tm5InBi2, optimized geometry; M_tot = 0.0 μB/f.u.; DFT total energy = -4.351 eV per atom
1.0
5.5667 0.0000 0.0000
-2.7834 5.7701 0.0000
0.0000 0.0000 14.8651
In Bi Tm
2 4 10
direct
0.2740 0.5479 0.2500
0.7260 0.4521 0.7500
0.7874 0.5747 0.1185
0.2126 0.4253 0.8815
0.7874 0.5747 0.3815
0.2126 0.4253 0.6185
0.4393 0.8785 0.7500
0.0741 0.1481 0.4049
0.5607 0.1215 0.2500
0.3808 0.7616 0.4484
0.9259 0.8519 0.9049
0.0741 0.1481 0.0951
0.6192 0.2384 0.9484
0.6192 0.2384 0.5516
0.3808 0.7616 0.0516
0.9259 0.8519 0.5951

=====

Q: The lowest DFT total energy belongs to which entry?
A: PmDyPu2S4

=====

Q: Which of these has the highest DFT total energy?
A: CoAu2Br

=====

Q: Number 3 is which compound?
A: Tm5InBi2

=====

Q: M_tot of number 1 (PmDyPu2S4)?
A: 11.3 μB/f.u.